Ac2TiGePt6: relaxed, PBE-GGA.

DFT formation energy in meV/atom: -870.9
E in eV per cell: -65.68
Magnetization in μB per atom: 0.0000

Cell: 5.6179 6.7786 6.9458 Å, 83.31 66.20 65.52°
Space group P-1 (No. 2)
One atom of each set of equivalent atoms:
Ac: 0.0463 0.2013 0.2068
Ti: 0.5000 0.5000 0.0000
Ge: 0.5000 0.0000 0.5000
Pt: 0.0003 0.2635 0.7436
Pt: 0.3683 0.3817 0.3815
Pt: 0.4938 0.2634 0.7433

Sm3YHo3: relaxed, PBE-GGA.

DFT formation energy in meV/atom: 158.9
Energy above the most stable polymorph in this dataset in kJ/mol of atoms: 13.8
E in eV per cell: -199.45
Magnetization in μB per atom: 0.0002

Cell: 6.1996 6.1996 43.0201 Å, 90.00 90.00 120.00°
Space group R-3 (No. 148, hexagonal axes)
One atom of each set of equivalent atoms:
Sm: 0.0001 0.3311 0.1317
Y: 0.0000 0.0000 0.3333
Ho: 0.0003 0.3332 0.2678

LaAgPb3: relaxed, PBE-GGA.

DFT formation energy in meV/atom: 93.0
Energy above the most stable polymorph in this dataset in kJ/mol of atoms: 0.0
E in eV per cell: -18.44
Magnetization in μB per atom: 0.0000

Cell: 5.4991 5.4991 5.4991 Å, 90.00 90.00 90.00°
Space group Pm-3m (No. 221)
One atom of each set of equivalent atoms:
La: 0.0000 0.0000 0.0000
Ag: 0.5000 0.5000 0.5000
Pb: 0.0000 0.5000 0.5000

ThPaCo: relaxed, PBE-GGA.

DFT formation energy in meV/atom: -103.0
Energy above the most stable polymorph in this dataset in kJ/mol of atoms: 7.4
E in eV per cell: -97.32
Magnetization in μB per atom: 0.0000

Cell: 6.6623 6.0767 8.6727 Å, 90.00 122.83 90.00°
Space group P2_1/c (No. 14)
One atom of each set of equivalent atoms:
Th: 0.2028 0.1081 0.4072
Pa: 0.3601 0.6022 0.6177
Co: 0.2874 0.6664 0.3109

SnPb3Se: relaxed, PBE-GGA.

Energy above the most stable polymorph in this dataset in kJ/mol of atoms: 0.0
E in eV per cell: -17.44
Formation energy without anion corrections in eV/atom: 0.2338
Magnetization in μB per atom: 0.0000

Cell: 5.6855 5.6855 5.6855 Å, 90.00 90.00 90.00°
Space group Pm-3m (No. 221)
One atom of each set of equivalent atoms:
Sn: 0.0000 0.0000 0.0000
Pb: 0.0000 0.5000 0.5000
Se: 0.5000 0.5000 0.5000

TaPt2C4: relaxed, PBE-GGA.

DFT formation energy in meV/atom: 1594.4
E in eV per cell: -99.34
Magnetization in μB per atom: 0.0000

Cell: 4.2310 4.2310 10.7746 Å, 90.00 90.00 90.00°
Space group I4/mmm (No. 139)
One atom of each set of equivalent atoms:
Ta: 0.0000 0.0000 0.0000
Pt: 0.0000 0.0000 0.3758
C: 0.0000 0.0000 0.2051
C: 0.0000 0.5000 0.0000

LiPd2Pt3: relaxed, PBE-GGA.

DFT formation energy in meV/atom: -261.8
Energy above the most stable polymorph in this dataset in kJ/mol of atoms: 0.0
E in eV per cell: -255.94
Magnetization in μB per atom: 0.0000

Cell: 5.5006 7.8536 16.7147 Å, 90.00 90.00 90.00°
Space group Fddd (No. 70, origin choice 2)
One atom of each set of equivalent atoms:
Li: 0.1250 0.1250 0.1250
Pd: 0.1250 0.1250 0.2959
Pt: 0.1250 0.1250 0.4610
Pt: 0.1250 0.1250 0.6250

Li3GaRh: relaxed, PBE-GGA.

DFT formation energy in meV/atom: 279.9
Energy above the most stable polymorph in this dataset in kJ/mol of atoms: 50.0
E in eV per cell: -14.72
Magnetization in μB per atom: 0.0000

Cell: 4.5856 4.5856 4.5856 Å, 90.00 90.00 90.00°
Space group Pm-3m (No. 221)
One atom of each set of equivalent atoms:
Li: 0.0000 0.0000 0.5000
Ga: 0.5000 0.5000 0.5000
Rh: 0.0000 0.0000 0.0000

YMg14Bi: relaxed, PBE-GGA.

DFT formation energy in meV/atom: -54.1
Energy above the most stable polymorph in this dataset in kJ/mol of atoms: 0.0
E in eV per cell: -67.07
Magnetization in μB per atom: 0.0000

Cell: 10.5811 6.3577 11.4381 Å, 90.00 90.00 90.00°
Space group Amm2 (No. 38)
One atom of each set of equivalent atoms:
Y: 0.0000 0.0000 0.0000
Mg: 0.0000 0.2461 0.2505
Mg: 0.2497 0.0000 0.6687
Mg: 0.2528 0.0000 0.1653
Mg: 0.2597 0.2465 0.9131
Mg: 0.5000 0.0000 0.0037
Mg: 0.5000 0.0000 0.5043
Mg: 0.5000 0.2493 0.7520
Bi: 0.0000 0.0000 0.4979

FeOs2Pb: relaxed, PBE-GGA.

DFT formation energy in meV/atom: 844.2
E in eV per cell: -62.51
Magnetization in μB per atom: 0.4276

Cell: 3.9938 3.9938 7.9069 Å, 90.00 90.00 90.00°
Space group I-4m2 (No. 119)
One atom of each set of equivalent atoms:
Fe: 0.0000 0.0000 0.0000
Os: 0.0000 0.0000 0.5000
Os: 0.0000 0.5000 0.7500
Pb: 0.0000 0.5000 0.2500

GaAgGeS4: relaxed, PBE-GGA.

Energy above the most stable polymorph in this dataset in kJ/mol of atoms: 0.0
E in eV per cell: -60.02
Formation energy without anion corrections in eV/atom: -0.4295
Magnetization in μB per atom: 0.0000

Cell: 5.7635 5.7635 9.8511 Å, 90.00 90.00 90.00°
Space group I-4 (No. 82)
One atom of each set of equivalent atoms:
Ga: 0.0000 0.0000 0.0000
Ag: 0.0000 0.0000 0.5000
Ge: 0.0000 0.5000 0.2500
S: 0.2201 0.2433 0.1355

TbPrTeO2: relaxed, PBE-GGA.

E in eV per cell: -74.01
Formation energy without anion corrections in eV/atom: -2.9074
Magnetization in μB per atom: 0.0000

Cell: 6.9776 4.1728 7.9776 Å, 90.00 107.09 90.00°
Space group P2_1/m (No. 11)
One atom of each set of equivalent atoms:
Tb: 0.1575 0.2500 0.4130
Pr: 0.1792 0.2500 0.9246
Te: 0.4502 0.7500 0.2502
O: 0.0090 0.7500 0.3847
O: 0.0161 0.7500 0.8716